First-principles (GGA+U) data for a relaxed structure of Hg2MoF, as listed in the Alexandria database.

Cell: 7.6337 7.6337 6.1655 Å, 51.75 51.75 90.00°
Closest atoms and distances in Å follow each position.
Element x y z (fractional)
Hg  0.5925  0.1250  0.2500  2 F 2.64
Hg  0.3750  0.4075  0.7500  2 F 2.64
Hg  0.1575  0.6250  0.2500  2 F 2.64
Hg  0.8750  0.8425  0.7500  2 F 2.64
F  0.2500  0.7500  0.5000  4 Hg 2.64
F  0.5000  0.5000  0.0000  4 Hg 2.64
Mo  0.0000  0.0000  0.0000  4 Hg 2.97, 2 F 2.98
Mo  0.7500  0.2500  0.5000  4 Hg 2.97, 2 F 2.98

Symmetry ... I-42d, No. 122
Calculated volume ... 21.7 Å³ per atom
E ... -2.493 eV/atom